Below is a relaxed PuAs2Ru crystal, with properties calculated at the PBE level.

Summary:
SG = Cm
energy of formation = -0.45 eV/atom
theoretical density = 9.74 g/cm³

Unit cell a=4.096 b=4.091 c=5.806 alpha=110.60 beta=110.58 gamma=89.98
Last column: magnetic moment on the atom in μB.
Fractional coordinates of all 4 atoms:
As1 0.594 0.252 0.970  -0.05
As2 0.850 0.510 0.486  -0.05
Pu1 0.222 0.881 0.229  5.14
Ru1 0.470 0.631 0.728  -0.17

---

Below is a relaxed BaSbCl2 crystal, with properties calculated at the PBE level.

Summary:
SG = Pmmm
theoretical density = 4.52 g/cm³
energy relative to the elements, uncorrected = -1.2264 eV per atom

Unit cell a=3.898 b=6.448 c=4.819 alpha=90.00 beta=90.00 gamma=90.00
Fractional coordinates of all 4 atoms:
Sb1 0.500 0.000 0.500
Ba1 0.000 0.500 0.500
Cl1 0.500 0.500 0.000
Cl2 0.000 0.000 0.000

---

Below is a relaxed Tl2S crystal, with properties calculated at the PBE level.

Summary:
SG = P-3m1
theoretical density = 7.49 g/cm³
energy relative to the elements, uncorrected = -0.3416 eV per atom

Unit cell a=4.261 b=4.262 c=6.210 alpha=90.02 beta=90.01 gamma=60.01
Fractional coordinates of all 3 atoms:
Tl1 0.833 0.333 0.236
Tl2 0.167 0.667 0.764
S1 0.500 0.000 0.500

---

Below is a relaxed Ce3AlGe6Ru2 crystal, with properties calculated at the PBE level.

Summary:
SG = P-3m1
energy of formation = -0.25 eV/atom
theoretical density = 7.27 g/cm³

Unit cell a=6.278 b=6.278 c=7.264 alpha=90.00 beta=90.00 gamma=120.00
Last column: magnetic moment on the atom in μB.
Fractional coordinates of all 12 atoms:
Ge1 0.806 0.612 0.705  0.00
Ge2 0.612 0.806 0.295  0.00
Ge3 0.388 0.194 0.705  0.00
Ge4 0.194 0.806 0.295  0.00
Ge5 0.194 0.388 0.295  0.00
Ge6 0.806 0.194 0.705  0.00
Ce1 0.333 0.667 0.692  0.02
Ce2 0.667 0.333 0.308  0.02
Ce3 0.000 0.000 0.000  0.35
Al1 0.000 0.000 0.500  0.00
Ru1 0.667 0.333 0.994  -0.02
Ru2 0.333 0.667 0.006  -0.02

---

Below is a relaxed Tb2HoTl2Zn2 crystal, with properties calculated at the PBE level.

Summary:
SG = R-3m
energy of formation = -0.15 eV/atom
theoretical density = 9.55 g/cm³

Unit cell a=4.731 b=4.731 c=9.567 alpha=75.68 beta=75.68 gamma=60.00
Fractional coordinates of all 7 atoms:
Tl1 0.738 0.738 0.786
Tl2 0.262 0.262 0.214
Zn1 0.610 0.610 0.171
Zn2 0.390 0.390 0.829
Tb1 0.126 0.126 0.621
Tb2 0.874 0.874 0.379
Ho1 0.000 0.000 0.000

---

Below is a relaxed NaNdPt2 crystal, with properties calculated at the PBE level.

Summary:
SG = P4/mmm
energy of formation = -0.65 eV/atom
theoretical density = 11.16 g/cm³

Unit cell a=3.688 b=3.688 c=6.096 alpha=90.00 beta=90.00 gamma=90.00
Fractional coordinates of all 4 atoms:
Pt1 0.000 0.000 0.740
Pt2 0.000 0.000 0.260
Nd1 0.500 0.500 0.000
Na1 0.500 0.500 0.500

---

Here are the calculated V numbers, same order: 84, 121, 98, 248, 178, 83 (Å³/cell).